No. 1
First-principles (GGA-PBE) data for RbVTeI2 after structural relaxation, as listed in Alexandria.

abc: 5.9070 5.9070 5.2363
angles: 90.00 90.00 90.00
Closest atoms and distances in Å follow each position.
Fractional coordinates of all 5 atoms:
1 I 0.0000 0.5000 0.0000  2 V 2.95
2 I 0.5000 0.0000 0.0000  2 V 2.95
3 Te 0.0000 0.0000 0.5000  2 V 2.62
4 Rb 0.5000 0.5000 0.5000  8 I 3.95, 4 Te 4.18
5 V 0.0000 0.0000 0.0000  2 Te 2.62

Summary:
E_form (uncorrected)	-286	kJ/mol of formula units
symmetry	P4/mmm
uncorrected energy	-3.858	eV per atom
excess energy over the best structure of this formula in the dataset	0.0	meV/atom

=====

No. 2
First-principles (GGA-PBE) data for TbPmYSe3 after structural relaxation, as listed in Alexandria.

abc: 4.0167 7.1988 10.6980
angles: 102.71 90.00 90.00
Closest atoms and distances in Å follow each position.
Fractional coordinates of all 12 atoms:
1 Tb 0.2500 0.7624 0.0585  6 Se 2.89-2.93
2 Tb 0.7500 0.2376 0.9415  6 Se 2.89-2.93
3 Pm 0.2500 0.3342 0.3013  7 Se 2.99-3.08
4 Pm 0.7500 0.6658 0.6987  7 Se 2.99-3.08
5 Y 0.2500 0.1212 0.6289  5 Se 2.84-2.94
6 Y 0.7500 0.8788 0.3711  5 Se 2.84-2.94
7 Se 0.7500 0.0528 0.1552  1 Y 2.86, 3 Tb 2.89-2.92, 2 Pm 3.03
8 Se 0.2500 0.9472 0.8448  1 Y 2.86, 3 Tb 2.89-2.92, 2 Pm 3.03
9 Se 0.2500 0.7150 0.5010  3 Y 2.84-2.94, 3 Pm 2.99-3.08
10 Se 0.7500 0.2850 0.4990  3 Y 2.84-2.94, 3 Pm 2.99-3.08
11 Se 0.7500 0.5451 0.1664  1 Y 2.87, 3 Tb 2.89-2.93, 2 Pm 3.06
12 Se 0.2500 0.4549 0.8336  1 Y 2.87, 3 Tb 2.89-2.93, 2 Pm 3.06

Summary:
E_form (uncorrected)	-1005	kJ/mol of formula units
symmetry	P2_1/m
uncorrected energy	-6.120	eV per atom

=====

No. 3
First-principles (GGA-PBE) data for LiRh5 after structural relaxation, as listed in Alexandria.

abc: 2.8159 4.3498 6.9753
angles: 108.17 90.00 90.00
Closest atoms and distances in Å follow each position.
Fractional coordinates of all 6 atoms:
1 Rh 0.0000 0.6811 0.3623  12 Rh 2.64-2.84
2 Rh 0.0000 0.3189 0.6377  12 Rh 2.64-2.84
3 Rh 0.5000 0.5000 0.0000  4 Li 2.59, 10 Rh 2.78-2.89
4 Rh 0.5000 0.1432 0.2865  2 Li 2.36, 4 Rh 2.64
5 Rh 0.5000 0.8568 0.7135  2 Li 2.36, 4 Rh 2.64
6 Li 0.0000 0.0000 0.0000  8 Rh 2.36-2.59

Summary:
symmetry	Cmmm
uncorrected energy	-6.382	eV per atom
excess energy over the best structure of this formula in the dataset	107.7	meV/atom

=====

No. 4
First-principles (GGA-PBE) data for K2AgPb after structural relaxation, as listed in Alexandria.

abc: 5.2502 3.8189 7.7053
angles: 61.98 90.00 90.00
Closest atoms and distances in Å follow each position.
Fractional coordinates of all 4 atoms:
1 Ag 0.5000 0.7500 0.7500  2 Pb 3.40, 8 K 3.61-3.69
2 K 0.0000 0.9979 0.9944  2 K 3.33-3.48, 4 Ag 3.61-3.69, 4 Pb 3.67-3.69
3 K 0.0000 0.5021 0.5056  2 K 3.33-3.48, 4 Ag 3.61-3.69, 4 Pb 3.67-3.69
4 Pb 0.5000 0.2500 0.2500  2 Ag 3.40, 8 K 3.67-3.69

Summary:
symmetry	P2/m
uncorrected energy	-2.121	eV per atom

=====

No. 5
First-principles (GGA-PBE) data for BeTlIn2 after structural relaxation, as listed in Alexandria.

abc: 3.3357 3.3357 8.6781
angles: 90.00 90.00 101.82
Closest atoms and distances in Å follow each position.
Fractional coordinates of all 4 atoms:
1 Be 0.5000 0.5000 0.7677  2 In 2.61, 2 Tl 2.80
2 Tl 0.0000 0.0000 0.5543  2 Be 2.80
3 In 0.0000 0.0000 0.9454  2 Be 2.61
4 In 0.5000 0.5000 0.2326  8 In 3.26-3.59, 2 Tl 3.50

Summary:
symmetry	Cmm2
uncorrected energy	-2.525	eV per atom
excess energy over the best structure of this formula in the dataset	77.6	meV/atom

=====

No. 6
First-principles (GGA-PBE) data for AsPt2Se3 after structural relaxation, as listed in Alexandria.

abc: 4.8753 7.6397 7.6397
angles: 120.00 90.00 90.00
Closest atoms and distances in Å follow each position.
Fractional coordinates of all 12 atoms:
1 As 0.2743 0.3333 0.6667  3 Pt 2.58
2 As 0.7257 0.6667 0.3333  3 Pt 2.58
3 Pt 0.0000 0.0000 0.0000  6 Se 2.59
4 Pt 0.0000 0.5000 0.0000  4 Se 2.51, 2 As 2.58
5 Pt 0.0000 0.0000 0.5000  4 Se 2.51, 2 As 2.58
6 Pt 0.0000 0.5000 0.5000  4 Se 2.51, 2 As 2.58
7 Se 0.7433 0.1711 0.8289  3 Pt 2.51-2.59
8 Se 0.7433 0.6578 0.8289  3 Pt 2.51-2.59
9 Se 0.7433 0.1711 0.3422  3 Pt 2.51-2.59
10 Se 0.2567 0.8289 0.6578  3 Pt 2.51-2.59
11 Se 0.2567 0.8289 0.1711  3 Pt 2.51-2.59
12 Se 0.2567 0.3422 0.1711  3 Pt 2.51-2.59

Summary:
E_form (uncorrected)	-188	kJ/mol of formula units
symmetry	P-3m1
uncorrected energy	-4.856	eV per atom

=====

No. 7
First-principles (GGA-PBE) data for Ho2Ni4SnGe3 after structural relaxation, as listed in Alexandria.

abc: 4.1224 4.1224 9.9080
angles: 90.00 90.00 90.00
Closest atoms and distances in Å follow each position.
Fractional coordinates of all 10 atoms:
1 Ho 0.5000 0.0000 0.2333  8 Ni 3.10-3.16, 6 Ge 3.11-3.35, 2 Sn 3.35
2 Ho 0.0000 0.5000 0.7667  8 Ni 3.10-3.16, 6 Ge 3.11-3.35, 2 Sn 3.35
3 Ni 0.5000 0.5000 0.0000  4 Ge 2.40
4 Ni 0.0000 0.0000 0.0000  4 Ge 2.40
5 Ni 0.5000 0.0000 0.6429  3 Ge 2.32-2.50, 2 Sn 2.50
6 Ni 0.0000 0.5000 0.3571  3 Ge 2.32-2.50, 2 Sn 2.50
7 Sn 0.5000 0.5000 0.5000  4 Ni 2.50
8 Ge 0.0000 0.0000 0.5000  4 Ni 2.50
9 Ge 0.5000 0.0000 0.8766  5 Ni 2.32-2.40
10 Ge 0.0000 0.5000 0.1234  5 Ni 2.32-2.40

Summary:
symmetry	P-4m2
uncorrected energy	-5.635	eV per atom

=====

No. 8
First-principles (GGA-PBE) data for ZnHg3 after structural relaxation, as listed in Alexandria.

abc: 5.1834 5.1834 5.1834
angles: 60.00 60.00 60.00
Closest atoms and distances in Å follow each position.
Fractional coordinates of all 4 atoms:
1 Hg 0.0000 0.0000 0.0000  4 Zn 3.17, 4 Hg 3.17
2 Hg 0.5000 0.5000 0.5000  4 Hg 3.17, 4 Zn 3.17
3 Hg 0.2500 0.2500 0.2500  8 Hg 3.17
4 Zn 0.7500 0.7500 0.7500  8 Hg 3.17

Summary:
symmetry	Fm-3m
uncorrected energy	-0.424	eV per atom
excess energy over the best structure of this formula in the dataset	52.1	meV/atom

=====

No. 9
First-principles (GGA-PBE) data for Cr2TcP after structural relaxation, as listed in Alexandria.

abc: 7.7895 7.7895 7.7895
angles: 20.50 20.50 20.50
Closest atoms and distances in Å follow each position.
Fractional coordinates of all 4 atoms:
1 Cr 0.9946 0.9946 0.9946  3 Cr 2.41, 3 Tc 2.63
2 Cr 0.2492 0.2492 0.2492  3 Cr 2.41, 3 P 2.41
3 P 0.5035 0.5035 0.5035  3 Cr 2.41, 3 Tc 2.50
4 Tc 0.7527 0.7527 0.7527  3 P 2.50, 3 Cr 2.63, 6 Tc 2.77

Summary:
symmetry	R3m
uncorrected energy	-8.658	eV per atom

=====

No. 10
First-principles (GGA-PBE) data for BaZn2Ni after structural relaxation, as listed in Alexandria.

abc: 4.3040 5.8574 4.3277
angles: 71.77 81.14 108.09
Closest atoms and distances in Å follow each position.
Fractional coordinates of all 4 atoms:
1 Ba 0.0000 0.5000 0.5000  2 Ni 2.81, 4 Zn 3.05
2 Ni 0.5000 0.5000 0.0000  2 Ba 2.81, 4 Zn 3.05
3 Zn 0.0000 0.0000 0.0000  2 Zn 2.81, 2 Ba 3.05, 2 Ni 3.05
4 Zn 0.5000 0.0000 0.5000  2 Zn 2.81, 2 Ni 3.05, 2 Ba 3.05

Summary:
symmetry	C2/m
uncorrected energy	-2.167	eV per atom

=====

No. 11
First-principles (GGA-PBE) data for NaTiAl after structural relaxation, as listed in Alexandria.

abc: 4.2412 4.2412 7.5453
angles: 90.00 90.00 90.00
Closest atoms and distances in Å follow each position.
Fractional coordinates of all 6 atoms:
1 Na 0.0000 0.5000 0.1571  5 Ti 3.13-3.27, 4 Al 3.35
2 Na 0.5000 0.0000 0.8429  5 Ti 3.13-3.27, 4 Al 3.35
3 Al 0.0000 0.0000 0.5000  4 Ti 2.71, 4 Al 3.00
4 Al 0.5000 0.5000 0.5000  4 Ti 2.71, 4 Al 3.00
5 Ti 0.0000 0.5000 0.7232  4 Al 2.71
6 Ti 0.5000 0.0000 0.2768  4 Al 2.71

Summary:
symmetry	P4/nmm
uncorrected energy	-3.754	eV per atom
excess energy over the best structure of this formula in the dataset	604.2	meV/atom

=====

No. 12
First-principles (GGA-PBE) data for Ac2Cd5Ag4 after structural relaxation, as listed in Alexandria.

abc: 5.8135 5.8135 9.7305
angles: 99.32 99.32 117.24
Closest atoms and distances in Å follow each position.
Fractional coordinates of all 11 atoms:
1 Ac 0.8701 0.8701 0.7401  6 Ag 3.38-3.45, 8 Cd 3.66-3.77
2 Ac 0.1299 0.1299 0.2599  6 Ag 3.38-3.45, 8 Cd 3.66-3.77
3 Cd 0.5000 0.5000 0.0000  4 Ag 2.86, 4 Cd 2.91
4 Cd 0.5000 0.0000 0.0000  4 Cd 2.91-3.03, 4 Ag 3.02
5 Cd 0.0000 0.5000 0.0000  4 Cd 2.91-3.03, 4 Ag 3.02
6 Cd 0.7500 0.2500 0.5000  4 Ag 2.84, 2 Cd 3.03
7 Cd 0.2500 0.7500 0.5000  4 Ag 2.84, 2 Cd 3.03
8 Ag 0.4795 0.7835 0.2629  5 Cd 2.84-3.02, 1 Ag 3.02
9 Ag 0.5205 0.2165 0.7371  5 Cd 2.84-3.02, 1 Ag 3.02
10 Ag 0.2165 0.5205 0.7371  5 Cd 2.84-3.02, 1 Ag 3.02
11 Ag 0.7835 0.4795 0.2629  5 Cd 2.84-3.02, 1 Ag 3.02

Summary:
symmetry	Fmmm
uncorrected energy	-2.422	eV per atom
excess energy over the best structure of this formula in the dataset	0.0	meV/atom

=====

No. 13
First-principles (GGA-PBE) data for Ca5Pr3Te8 after structural relaxation, as listed in Alexandria.

abc: 8.9923 8.9923 9.0752
angles: 60.30 60.30 60.00
Closest atoms and distances in Å follow each position.
Fractional coordinates of all 16 atoms:
1 Ca 0.5000 0.0000 0.0000  6 Te 3.16-3.17
2 Ca 0.5000 0.5000 0.0000  6 Te 3.16-3.17
3 Ca 0.0000 0.0000 0.0000  6 Te 3.19
4 Ca 0.0000 0.5000 0.0000  6 Te 3.16-3.17
5 Ca 0.5000 0.5000 0.5000  6 Te 3.19
6 Pr 0.5000 0.0000 0.5000  6 Te 3.22-3.23
7 Pr 0.0000 0.0000 0.5000  6 Te 3.22-3.23
8 Pr 0.0000 0.5000 0.5000  6 Te 3.22-3.23
9 Te 0.2500 0.2500 0.7543  4 Ca 3.17-3.19, 2 Pr 3.22
10 Te 0.2500 0.7457 0.7543  4 Ca 3.17-3.19, 2 Pr 3.22
11 Te 0.7457 0.2500 0.7543  4 Ca 3.17-3.19, 2 Pr 3.22
12 Te 0.7475 0.7475 0.7575  3 Ca 3.16, 3 Pr 3.23
13 Te 0.7500 0.7500 0.2457  4 Ca 3.17-3.19, 2 Pr 3.22
14 Te 0.7500 0.2543 0.2457  4 Ca 3.17-3.19, 2 Pr 3.22
15 Te 0.2543 0.7500 0.2457  4 Ca 3.17-3.19, 2 Pr 3.22
16 Te 0.2525 0.2525 0.2425  3 Ca 3.16, 3 Pr 3.23

Summary:
E_form (uncorrected)	-2392	kJ/mol of formula units
symmetry	R-3m
uncorrected energy	-4.642	eV per atom

=====

No. 14
First-principles (GGA-PBE) data for PrAlZn3 after structural relaxation, as listed in Alexandria.

abc: 6.7837 6.7766 6.7769
angles: 90.11 119.91 119.91
Closest atoms and distances in Å follow each position.
Fractional coordinates of all 10 atoms:
1 Pr 0.0000 0.7500 0.7500  12 Zn 3.39
2 Pr 0.0000 0.2500 0.2500  12 Zn 3.39
3 Al 0.5000 0.5000 0.0000  6 Zn 2.39-2.40
4 Al 0.5000 0.0000 0.5000  6 Zn 2.39-2.40
5 Zn 0.0000 0.7500 0.2500  2 Al 2.40
6 Zn 0.5000 0.7500 0.2500  2 Al 2.39
7 Zn 0.5000 0.7500 0.7500  2 Al 2.40
8 Zn 0.5000 0.2500 0.7500  2 Al 2.39
9 Zn 0.5000 0.2500 0.2500  2 Al 2.40
10 Zn 0.0000 0.2500 0.7500  2 Al 2.40

Summary:
symmetry	P4/mmm
uncorrected energy	-2.409	eV per atom
excess energy over the best structure of this formula in the dataset	30.1	meV/atom

=====

No. 15
First-principles (GGA-PBE) data for AlGaHg after structural relaxation, as listed in Alexandria.

abc: 4.5501 4.5501 7.2331
angles: 90.00 90.00 120.00
Closest atoms and distances in Å follow each position.
Fractional coordinates of all 6 atoms:
1 Hg 0.0000 0.0000 0.0000  6 Al 3.19, 6 Ga 3.19
2 Hg 0.0000 0.0000 0.5000  6 Al 3.19, 6 Ga 3.19
3 Ga 0.3333 0.6667 0.7500  3 Al 2.63
4 Ga 0.6667 0.3333 0.2500  3 Al 2.63
5 Al 0.3333 0.6667 0.2500  3 Ga 2.63
6 Al 0.6667 0.3333 0.7500  3 Ga 2.63

Summary:
symmetry	P6_3/mmc
uncorrected energy	-2.175	eV per atom

=====

No. 16
First-principles (GGA-PBE) data for CaTb2ScHg4 after structural relaxation, as listed in Alexandria.

abc: 5.2141 5.2141 9.0342
angles: 73.23 73.23 60.00
Closest atoms and distances in Å follow each position.
Fractional coordinates of all 8 atoms:
1 Ca 0.0000 0.0000 0.0000  8 Hg 3.23-3.25
2 Tb 0.7501 0.7501 0.7498  8 Hg 3.13-3.29
3 Tb 0.2499 0.2499 0.2502  8 Hg 3.13-3.29
4 Sc 0.5000 0.5000 0.5000  8 Hg 3.10-3.17
5 Hg 0.3787 0.3787 0.8639  1 Sc 3.10, 4 Tb 3.16-3.29, 3 Ca 3.23
6 Hg 0.8727 0.8727 0.3820  4 Tb 3.13-3.21, 3 Sc 3.17, 1 Ca 3.25
7 Hg 0.1273 0.1273 0.6180  4 Tb 3.13-3.21, 3 Sc 3.17, 1 Ca 3.25
8 Hg 0.6213 0.6213 0.1361  1 Sc 3.10, 4 Tb 3.16-3.29, 3 Ca 3.23

Summary:
symmetry	R-3m
uncorrected energy	-2.840	eV per atom

=====

No. 17
First-principles (GGA-PBE) data for Th2InCu after structural relaxation, as listed in Alexandria.

abc: 3.4132 3.4132 8.7601
angles: 90.00 90.00 90.00
Closest atoms and distances in Å follow each position.
Fractional coordinates of all 4 atoms:
1 Cu 0.5000 0.5000 0.0000  8 Th 3.10, 4 Cu 3.41
2 Th 0.0000 0.0000 0.7770  4 Cu 3.10, 4 Th 3.41, 4 In 3.42
3 Th 0.0000 0.0000 0.2230  4 Cu 3.10, 4 Th 3.41, 4 In 3.42
4 In 0.5000 0.5000 0.5000  4 In 3.41, 8 Th 3.42

Summary:
symmetry	P4/mmm
uncorrected energy	-5.585	eV per atom
excess energy over the best structure of this formula in the dataset	0.0	meV/atom

=====

No. 18
First-principles (GGA-PBE) data for MnCoAu2 after structural relaxation, as listed in Alexandria.

abc: 4.8405 4.8405 4.8405
angles: 132.13 132.13 70.02
Closest atoms and distances in Å follow each position.
Fractional coordinates of all 4 atoms:
1 Au 0.0000 0.0000 0.0000  4 Co 2.78, 4 Mn 2.79, 4 Au 2.79
2 Au 0.2500 0.7500 0.5000  4 Mn 2.78, 4 Co 2.79, 4 Au 2.79
3 Co 0.5000 0.5000 0.0000  8 Au 2.78-2.79, 4 Mn 2.79
4 Mn 0.7500 0.2500 0.5000  8 Au 2.78-2.79, 4 Co 2.79

Summary:
symmetry	I-4m2
uncorrected energy	-5.594	eV per atom

=====

No. 19
First-principles (GGA-PBE) data for CeErPaCd after structural relaxation, as listed in Alexandria.

abc: 5.3005 5.3005 5.3005
angles: 60.00 60.00 60.00
Closest atoms and distances in Å follow each position.
Fractional coordinates of all 4 atoms:
1 Cd 0.0000 0.0000 0.0000  4 Ce 3.25, 4 Er 3.25
2 Pa 0.5000 0.5000 0.5000  4 Ce 3.25, 4 Er 3.25
3 Ce 0.7500 0.7500 0.7500  4 Cd 3.25, 4 Pa 3.25
4 Er 0.2500 0.2500 0.2500  4 Cd 3.25, 4 Pa 3.25

Summary:
symmetry	F-43m
uncorrected energy	-5.000	eV per atom

=====

No. 20
First-principles (GGA-PBE) data for Sb2TeW after structural relaxation, as listed in Alexandria.

abc: 5.0144 5.0144 5.0144
angles: 119.99 119.99 90.01
Closest atoms and distances in Å follow each position.
Fractional coordinates of all 4 atoms:
1 Sb 0.0000 0.0000 0.0000  4 W 3.07, 4 Sb 3.07
2 Sb 0.2500 0.7500 0.5000  4 Sb 3.07, 4 Te 3.07
3 Te 0.5000 0.5000 0.0000  4 W 3.07, 4 Sb 3.07
4 W 0.7500 0.2500 0.5000  4 Te 3.07, 4 Sb 3.07

Summary:
E_form (uncorrected)	296	kJ/mol of formula units
symmetry	F-43m
uncorrected energy	-5.318	eV per atom